No. 1
{"formula": "CaMo", "functional": "GGA-PBE", "state": "relaxed", "e_above_lowest_polymorph_mev_per_atom": 519, "ef_mev_per_atom": 880, "m_tot_mub_per_cell": 0.0, "sg": "P6_3/mmc (194)", "vol_a3_per_atom": 29.247, "lattice": [[5.4629, 0.0000, 0.0000], [-2.7315, 4.7310, 0.0000], [0.0000, 0.0000, 4.5264]], "species": ["Ca", "Ca", "Mo", "Mo"], "fractional_positions": [[0.3333, 0.6667, 0.2500], [0.6667, 0.3333, 0.7500], [0.0000, 0.0000, 0.0000], [0.0000, 0.0000, 0.5000]]}

=====

No. 2
{"formula": "CaMo5", "functional": "GGA-PBE", "state": "relaxed", "e_above_lowest_polymorph_mev_per_atom": 4, "ef_mev_per_atom": 400, "m_tot_mub_per_cell": 0.0, "sg": "P6/mmm (191)", "vol_a3_per_atom": 19.194, "lattice": [[5.5565, 0.0000, 0.0000], [-2.7783, 4.8121, 0.0000], [0.0000, 0.0000, 4.3070]], "species": ["Ca", "Mo", "Mo", "Mo", "Mo", "Mo"], "fractional_positions": [[0.0000, 0.0000, 0.0000], [0.0000, 0.5000, 0.5000], [0.3333, 0.6667, 0.0000], [0.5000, 0.0000, 0.5000], [0.5000, 0.5000, 0.5000], [0.6667, 0.3333, 0.0000]]}

=====

No. 3
{"formula": "CaMo", "functional": "GGA-PBE", "state": "relaxed", "e_above_lowest_polymorph_mev_per_atom": 471, "ef_mev_per_atom": 832, "m_tot_mub_per_cell": 0.0, "sg": "P4/mmm (123)", "vol_a3_per_atom": 20.677, "lattice": [[2.8300, 0.0000, 0.0000], [0.0000, 2.8300, 0.0000], [0.0000, 0.0000, 5.1637]], "species": ["Ca", "Mo"], "fractional_positions": [[0.0000, 0.0000, 0.0000], [0.5000, 0.5000, 0.5000]]}